# LaDy2Y

LaDy2Y after structural relaxation (PBE, the Alexandria database).

abc: 5.1021 5.0967 5.0967
angles: 90.00 90.00 90.00
Last column: nearest neighbours and their distance in Å.
Sites, in units of the cell vectors:
La: 0.5000 0.5000 0.5000  4 Y 3.60, 8 Dy 3.61
Dy: 0.0000 0.0000 0.5000  4 Dy 3.60, 4 La 3.61, 4 Y 3.61
Dy: 0.0000 0.5000 0.0000  4 Dy 3.60, 4 La 3.61, 4 Y 3.61
Y: 0.5000 0.0000 0.0000  4 La 3.60, 8 Dy 3.61

Summary:
As for the energy relative to the lowest polymorph listed for this composition: 25 meV per atom. Its space group is P4/mmm, No. 123. The energy relative to the elements is 0.032 eV per atom.

---

# La6DyY

La6DyY after structural relaxation (PBE, the Alexandria database).

abc: 5.2076 5.2076 10.4163
angles: 90.00 90.00 90.00
Last column: nearest neighbours and their distance in Å.
Sites, in units of the cell vectors:
Dy: 0.0000 0.0000 0.5000  12 La 3.68
La: 0.0000 0.5000 0.7490  2 Dy 3.68, 8 La 3.68-3.69, 2 Y 3.69
La: 0.5000 0.0000 0.7490  8 La 3.68-3.69, 2 Dy 3.68, 2 Y 3.69
La: 0.0000 0.5000 0.2510  2 Dy 3.68, 8 La 3.68-3.69, 2 Y 3.69
La: 0.5000 0.5000 0.0000  4 Y 3.68, 8 La 3.69
La: 0.5000 0.5000 0.5000  8 La 3.68, 4 Dy 3.68
La: 0.5000 0.0000 0.2510  8 La 3.68-3.69, 2 Dy 3.68, 2 Y 3.69
Y: 0.0000 0.0000 0.0000  12 La 3.68-3.69

Summary:
Its space group is P4/mmm, No. 123. The energy relative to the elements is 0.007 eV per atom.

---

# LaDy2Y

LaDy2Y after structural relaxation (PBE, the Alexandria database).

abc: 3.6036 3.6036 11.9041
angles: 81.29 81.29 60.00
Last column: nearest neighbours and their distance in Å.
Sites, in units of the cell vectors:
Dy: 0.7516 0.7516 0.7453  3 Y 3.55, 6 Dy 3.60, 3 La 3.64
Dy: 0.2484 0.2484 0.2547  3 Y 3.55, 6 Dy 3.60, 3 La 3.64
Y: 0.5000 0.5000 0.5000  6 Dy 3.55, 6 Y 3.60
La: 0.0000 0.0000 0.0000  6 La 3.60, 6 Dy 3.64

Summary:
As for the energy relative to the lowest polymorph listed for this composition: 15 meV per atom. Its space group is R-3m, No. 166. The energy relative to the elements is 0.023 eV per atom.

---

# La2DyY

La2DyY after structural relaxation (PBE, the Alexandria database).

abc: 3.6595 3.6595 12.0319
angles: 81.25 81.25 60.00
Last column: nearest neighbours and their distance in Å.
Sites, in units of the cell vectors:
La: 0.0831 0.0831 0.7508  3 Dy 3.60, 3 Y 3.62, 6 La 3.66
La: 0.2499 0.2499 0.2504  3 Y 3.66, 6 La 3.66, 3 Dy 3.67
Y: 0.4993 0.4993 0.5022  6 La 3.62-3.66, 6 Y 3.66
Dy: 0.6678 0.6678 0.9966  6 La 3.60-3.67, 6 Dy 3.66

Summary:
As for the energy relative to the lowest polymorph listed for this composition: 16 meV per atom. Its space group is R3m, No. 160. The energy relative to the elements is 0.025 eV per atom.

---

N(E_F) for every record listed, in sequence, given in states/eV per atom: 1.69 1.30 1.45 1.56.
Total energy for every record listed, in sequence, given in eV per atom: -5.116 -5.072 -5.126 -5.205.
Total magnetic moment for every record listed, in sequence, given in μB per formula unit: 0.0 0.0 0.0 0.0.